Density functional theory data (PBE) for FeRhW2 after structural relaxation.

- Mass density: 15.16 g/cm3
- Excess energy over the best structure of this formula in the dataset: 82 meV/atom
- Calculated volume: 14.42 A^3/atom
- Total magnetic moment: 1.536 Bohr magnetons per cell
- E_form: 0.065 eV/atom

Cell lengths 2.7079, 4.4064, 4.8459 Å; angles 90.00, 94.09, 90.00 degrees
Closest atoms and distances in Å follow each position.
Space group Pm (No. 6)
Asymmetric unit:
Fe 0.0000 0.0000 0.0000 (multiplicity 1)  7 W 2.58-2.83, 2 Rh 2.70, 2 Fe 2.71
Rh 0.9735 0.5000 0.3223 (multiplicity 1)  7 W 2.66-2.82, 2 Fe 2.70, 2 Rh 2.71
W 0.3883 0.5000 0.8368 (multiplicity 1)  4 Fe 2.59-2.83, 3 Rh 2.66-2.74, 4 W 2.71-2.77
W 0.5564 0.0000 0.5099 (multiplicity 1)  3 Fe 2.58-2.82, 4 Rh 2.67-2.82, 4 W 2.71-2.77

***

Density functional theory data (PBE) for Zr3PaN3 after structural relaxation.

- Mass density: 7.52 g/cm3
- ΔE_f (raw): -1.10 eV/atom
- Calculated volume: 17.24 A^3/atom
- Total magnetic moment: 0.000 Bohr magnetons per cell

Cell lengths 8.7220, 8.2045, 6.7475 Å; angles 90.00, 90.00, 90.00 degrees
Closest atoms and distances in Å follow each position.
Space group Cmcm (No. 63)
Asymmetric unit:
Zr 0.0000 0.2086 0.2500 (multiplicity 4)  3 N 2.15-2.40
Zr 0.1821 0.5000 0.0000 (multiplicity 8)  4 N 2.21-2.32
Pa 0.0000 0.1974 0.7500 (multiplicity 4)  2 N 2.13
N 0.0000 0.4989 0.7500 (multiplicity 4)  5 Zr 2.32-2.40, 1 Pa 2.47
N 0.1542 0.0035 0.2500 (multiplicity 8)  1 Pa 2.13, 3 Zr 2.15-2.21

***

Density functional theory data (PBE) for Ho4ZnAu3 after structural relaxation.

- Mass density: 11.58 g/cm3
- Excess energy over the best structure of this formula in the dataset: 10 meV/atom
- Calculated volume: 23.60 A^3/atom
- Total magnetic moment: 0.000 Bohr magnetons per cell
- E_form: -0.735 eV/atom

Cell lengths 3.6994, 4.6507, 10.9721 Å; angles 90.00, 90.00, 90.00 degrees
Closest atoms and distances in Å follow each position.
Space group Pmm2 (No. 25)
Asymmetric unit:
Ho 0.0000 0.0000 0.0000 (multiplicity 1)  6 Au 3.02-3.11, 1 Zn 3.06
Ho 0.0000 0.5000 0.2793 (multiplicity 1)  7 Au 3.02-3.11
Ho 0.5000 0.0000 0.4977 (multiplicity 1)  5 Au 2.96-3.05, 2 Zn 3.07
Ho 0.5000 0.5000 0.7798 (multiplicity 1)  3 Au 2.98-3.04, 4 Zn 3.04
Zn 0.0000 0.0000 0.7215 (multiplicity 1)  2 Au 2.93, 7 Ho 3.04-3.07
Au 0.0000 0.5000 0.5594 (multiplicity 1)  2 Zn 2.93, 7 Ho 3.04-3.07
Au 0.5000 0.0000 0.2279 (multiplicity 1)  7 Ho 2.96-3.11, 2 Au 3.02
Au 0.5000 0.5000 0.0516 (multiplicity 1)  7 Ho 2.98-3.11, 2 Au 3.02

***

Density functional theory data (PBE) for LiPbI4 after structural relaxation.

- Mass density: 4.89 g/cm3
- ΔE_f (raw): -0.61 eV/atom
- Calculated volume: 40.87 A^3/atom
- Total magnetic moment: 0.000 Bohr magnetons per cell

Cell lengths 16.7502, 4.4068, 7.3813 Å; angles 90.00, 115.81, 90.00 degrees
Closest atoms and distances in Å follow each position.
Space group C2/m (No. 12)
Asymmetric unit:
Li 0.0000 0.0000 0.0000 (multiplicity 2)  6 I 2.95-3.02
Pb 0.0000 0.5000 0.5000 (multiplicity 2)  6 I 3.07-3.19
I 0.1142 0.5000 0.2687 (multiplicity 4)  2 Li 3.02, 1 Pb 3.07
I 0.1219 0.0000 0.8080 (multiplicity 4)  1 Li 2.95, 2 Pb 3.19

***

Density functional theory data (PBE) for NaSr4Sn4 after structural relaxation.

- Mass density: 4.11 g/cm3
- Calculated volume: 38.10 A^3/atom
- Total magnetic moment: 0.000 Bohr magnetons per cell
- E_form: -0.433 eV/atom

Cell lengths 10.0686, 10.0686, 6.7645 Å; angles 90.00, 90.00, 90.00 degrees
Closest atoms and distances in Å follow each position.
Space group P4_2/n (No. 86, origin choice 2)
Asymmetric unit:
Na 0.2500 0.2500 0.2500 (multiplicity 2)  4 Sn 3.05
Sr 0.0583 0.6668 0.1146 (multiplicity 8)  5 Sn 3.34-3.60
Sn 0.0080 0.6218 0.6118 (multiplicity 8)  1 Sn 2.89, 1 Na 3.05

***

Density functional theory data (PBE) for Na3SrF after structural relaxation.

- Mass density: 0.82 g/cm3
- Excess energy over the best structure of this formula in the dataset: 980 meV/atom
- ΔE_f (raw): 0.21 eV/atom
- Calculated volume: 71.45 A^3/atom
- Total magnetic moment: 1.999 Bohr magnetons per cell

Cell lengths 7.0955, 7.0955, 7.0955 Å; angles 90.00, 90.00, 90.00 degrees
Closest atoms and distances in Å follow each position.
Space group Pm-3m (No. 221)
Asymmetric unit:
Na 0.0000 0.0000 0.5000 (multiplicity 3)  2 Sr 3.55
Sr 0.0000 0.0000 0.0000 (multiplicity 1)  6 Na 3.55
F 0.5000 0.5000 0.5000 (multiplicity 1)  12 Na 5.02

***

Density functional theory data (PBE) for KSr2Re after structural relaxation.

- Mass density: 3.93 g/cm3
- Excess energy over the best structure of this formula in the dataset: 170 meV/atom
- Calculated volume: 42.29 A^3/atom
- Total magnetic moment: 3.331 Bohr magnetons per cell
- E_form: 0.989 eV/atom

Cell lengths 3.5190, 5.2854, 18.1902 Å; angles 90.00, 90.00, 90.00 degrees
Closest atoms and distances in Å follow each position.
Space group Imm2 (No. 44)
Asymmetric unit:
K 0.0000 0.0000 0.0000 (multiplicity 2)  2 K 3.52, 2 Re 3.61
Sr 0.0000 0.0000 0.3133 (multiplicity 2)  2 Re 3.09
Sr 0.0000 0.5000 0.1623 (multiplicity 2)  4 Re 3.18, 2 Sr 3.52
Re 0.0000 0.5000 0.6736 (multiplicity 2)  6 Sr 3.09-3.18

***

Density functional theory data (PBE) for LaZn2Pd6 after structural relaxation.

- Mass density: 8.30 g/cm3
- Calculated volume: 20.19 A^3/atom
- Total magnetic moment: 0.000 Bohr magnetons per cell
- E_form: -0.249 eV/atom

Cell lengths 11.3289, 11.3289, 11.3289 Å; angles 90.00, 90.00, 90.00 degrees
Closest atoms and distances in Å follow each position.
Space group Fd-3m (No. 227, origin choice 2)
Asymmetric unit:
La 0.1250 0.1250 0.1250 (multiplicity 8)  6 Pd 2.75
Zn 0.0000 0.0000 0.5000 (multiplicity 16)  6 Pd 2.50
Pd 0.1174 0.3750 0.3750 (multiplicity 48)  2 Zn 2.50, 1 La 2.75

***

What is the mass density in the second record? 7.52 g/cm3

***

Please write out number 8 again, unchanged.
Density functional theory data (PBE) for LaZn2Pd6 after structural relaxation.

- Mass density: 8.30 g/cm3
- Calculated volume: 20.19 A^3/atom
- Total magnetic moment: 0.000 Bohr magnetons per cell
- E_form: -0.249 eV/atom

Cell lengths 11.3289, 11.3289, 11.3289 Å; angles 90.00, 90.00, 90.00 degrees
Closest atoms and distances in Å follow each position.
Space group Fd-3m (No. 227, origin choice 2)
Asymmetric unit:
La 0.1250 0.1250 0.1250 (multiplicity 8)  6 Pd 2.75
Zn 0.0000 0.0000 0.5000 (multiplicity 16)  6 Pd 2.50
Pd 0.1174 0.3750 0.3750 (multiplicity 48)  2 Zn 2.50, 1 La 2.75

***

mass density of number 6 (Na3SrF)? 0.82 g/cm3

***

Copy entry 3 word for word.
Density functional theory data (PBE) for Ho4ZnAu3 after structural relaxation.

- Mass density: 11.58 g/cm3
- Excess energy over the best structure of this formula in the dataset: 10 meV/atom
- Calculated volume: 23.60 A^3/atom
- Total magnetic moment: 0.000 Bohr magnetons per cell
- E_form: -0.735 eV/atom

Cell lengths 3.6994, 4.6507, 10.9721 Å; angles 90.00, 90.00, 90.00 degrees
Closest atoms and distances in Å follow each position.
Space group Pmm2 (No. 25)
Asymmetric unit:
Ho 0.0000 0.0000 0.0000 (multiplicity 1)  6 Au 3.02-3.11, 1 Zn 3.06
Ho 0.0000 0.5000 0.2793 (multiplicity 1)  7 Au 3.02-3.11
Ho 0.5000 0.0000 0.4977 (multiplicity 1)  5 Au 2.96-3.05, 2 Zn 3.07
Ho 0.5000 0.5000 0.7798 (multiplicity 1)  3 Au 2.98-3.04, 4 Zn 3.04
Zn 0.0000 0.0000 0.7215 (multiplicity 1)  2 Au 2.93, 7 Ho 3.04-3.07
Au 0.0000 0.5000 0.5594 (multiplicity 1)  2 Zn 2.93, 7 Ho 3.04-3.07
Au 0.5000 0.0000 0.2279 (multiplicity 1)  7 Ho 2.96-3.11, 2 Au 3.02
Au 0.5000 0.5000 0.0516 (multiplicity 1)  7 Ho 2.98-3.11, 2 Au 3.02